(1)
La4Pr3Co4 | PBE-GGA | optimized geometry

Cell lengths 4.8985, 7.5005, 8.6231 Å; angles 115.78, 106.50, 90.00 degrees
Closest atoms and distances in Å follow each position.
Atoms (fractional coordinates):
1 La 0.3371 0.1128 0.6742  2 Co 2.54-2.82
2 La 0.6629 0.4387 0.3258  2 Co 2.54-2.82
3 La 0.6629 0.8872 0.3258  2 Co 2.54-2.82
4 La 0.3371 0.5613 0.6742  2 Co 2.54-2.82
5 Pr 0.1009 0.1009 0.2019  1 Pr 2.97, 4 Co 3.12
6 Pr 0.8991 0.8991 0.7981  1 Pr 2.97, 4 Co 3.12
7 Pr 0.0000 0.5000 0.0000  2 Co 3.05
8 Co 0.2068 0.7068 0.4137  6 La 2.82-3.04, 1 Pr 3.05
9 Co 0.7932 0.2932 0.5863  6 La 2.82-3.04, 1 Pr 3.05
10 Co 0.5000 0.8365 0.0000  1 Co 2.45, 2 La 2.54
11 Co 0.5000 0.1635 0.0000  1 Co 2.45, 2 La 2.54

DFT total energy in eV per atom: -5.6796
Energy relative to the elements in meV/atom: 0

---

(2)
LaPr12Co6 | PBE-GGA | optimized geometry

Cell lengths 8.8332, 8.8332, 8.8332 Å; angles 109.47, 109.47, 109.47 degrees
Closest atoms and distances in Å follow each position.
Atoms (fractional coordinates):
1 La 0.0000 0.0000 0.0000  12 Pr 3.75
2 Pr 0.3118 0.1169 0.8051  3 Co 2.76-2.98
3 Pr 0.3118 0.5067 0.1949  3 Co 2.76-2.98
4 Pr 0.6882 0.4933 0.8051  3 Co 2.76-2.98
5 Pr 0.6882 0.8831 0.1949  3 Co 2.76-2.98
6 Pr 0.1169 0.8051 0.3118  3 Co 2.76-2.98
7 Pr 0.5067 0.1949 0.3118  3 Co 2.76-2.98
8 Pr 0.4933 0.8051 0.6882  3 Co 2.76-2.98
9 Pr 0.8831 0.1949 0.6882  3 Co 2.76-2.98
10 Pr 0.8051 0.3118 0.1169  3 Co 2.76-2.98
11 Pr 0.1949 0.3118 0.5067  3 Co 2.76-2.98
12 Pr 0.8051 0.6882 0.4933  3 Co 2.76-2.98
13 Pr 0.1949 0.6882 0.8831  3 Co 2.76-2.98
14 Co 0.3897 0.5000 0.8897  1 Co 2.25
15 Co 0.6103 0.5000 0.1103  1 Co 2.25
16 Co 0.5000 0.8897 0.3897  1 Co 2.25
17 Co 0.5000 0.1103 0.6103  1 Co 2.25
18 Co 0.8897 0.3897 0.5000  1 Co 2.25
19 Co 0.1103 0.6103 0.5000  1 Co 2.25

DFT total energy in eV per atom: -5.5478
Energy relative to the elements in meV/atom: -26